DFT (meta-GGA SCAN) results for a PBEsol-optimized structure of AuSBr2.

Summary:
For the formation energy (no corrections), the calculation gives 0.903 eV per atom.

```
16
Lattice="6.828 0.000 0.000 0.000 6.828 0.000 0.000 0.000 6.828" Properties=species:S:1:pos:R:3 pbc="T T T"
Au 0.000 0.000 0.000
Au 0.000 3.414 3.414
Au 3.414 0.000 3.414
Au 3.414 3.414 0.000
S 0.000 0.000 3.414
S 0.000 3.414 0.000
S 3.414 0.000 0.000
S 3.414 3.414 3.414
Br 1.707 1.707 1.707
Br 1.707 1.707 5.121
Br 1.707 5.121 1.707
Br 1.707 5.121 5.121
Br 5.121 1.707 1.707
Br 5.121 1.707 5.121
Br 5.121 5.121 1.707
Br 5.121 5.121 5.121
```



DFT (meta-GGA SCAN) results for a PBEsol-optimized structure of Sr2AlOs.

Summary:
The value obtained for the formation energy is 597 meV/atom.

```
4
Lattice="3.651 0.000 0.000 0.000 3.651 0.000 0.000 0.000 7.544" Properties=species:S:1:pos:R:3 pbc="T T T"
Sr 0.000 0.000 1.685
Sr 0.000 0.000 5.859
Al 1.825 1.825 3.772
Os 1.825 1.825 0.000
```



DFT (meta-GGA SCAN) results for a PBEsol-optimized structure of EuGaO3.

Summary:
For the formation energy (no corrections), the calculation gives -2.553 eV per atom.

```
20
Lattice="5.509 0.000 0.000 0.000 7.622 0.000 0.000 0.000 5.382" Properties=species:S:1:pos:R:3 pbc="T T T"
Eu 0.275 1.905 0.053
Eu 2.480 5.716 2.744
Eu 3.029 1.905 2.638
Eu 5.234 5.716 5.330
Ga 0.000 0.000 2.691
Ga 0.000 3.811 2.691
Ga 2.755 0.000 0.000
Ga 2.755 3.811 0.000
O 0.132 5.716 2.228
O 1.107 4.148 4.298
O 1.107 7.284 4.298
O 1.648 0.337 1.607
O 1.648 3.473 1.607
O 2.623 1.905 4.919
O 2.887 5.716 0.463
O 3.861 4.148 3.776
O 3.861 7.284 3.776
O 4.402 0.337 1.085
O 4.402 3.473 1.085
O 5.377 1.905 3.154
```



DFT (meta-GGA SCAN) results for a PBEsol-optimized structure of CrTc3Cl.

Summary:
For the formation energy (no corrections), the calculation gives 1.612 eV per atom.

```
5
Lattice="4.440 0.000 0.000 0.000 4.440 0.000 0.000 0.000 4.440" Properties=species:S:1:pos:R:3 pbc="T T T"
Cr 0.000 0.000 0.000
Tc 0.000 0.000 2.220
Tc 0.000 2.220 0.000
Tc 2.220 0.000 0.000
Cl 2.220 2.220 2.220
```



DFT (meta-GGA SCAN) results for a PBEsol-optimized structure of CrCuTc2.

Summary:
The value obtained for the formation energy is 251 meV/atom. Its energy above the most stable polymorph in this dataset is 0.080 eV per atom.

```
8
Lattice="5.233 0.000 0.000 0.000 7.407 0.000 0.000 0.000 2.617" Properties=species:S:1:pos:R:3 pbc="T T T"
Cr 0.000 0.000 0.000
Cr 2.616 3.703 0.000
Cu 0.000 3.703 0.000
Cu 2.616 0.000 0.000
Tc 1.308 1.852 1.308
Tc 1.308 5.555 1.308
Tc 3.925 1.852 1.308
Tc 3.925 5.555 1.308
```



DFT (meta-GGA SCAN) results for a PBEsol-optimized structure of Ni4B3.

Summary:
The value obtained for the formation energy is -296 meV/atom. Its energy above the most stable polymorph in this dataset is 0.000 eV per atom.

```
28
Lattice="11.798 0.000 0.000 0.000 2.982 0.000 0.000 0.000 6.481" Properties=species:S:1:pos:R:3 pbc="T T T"
Ni 0.597 0.746 1.623
Ni 1.452 0.746 4.328
Ni 1.752 2.237 6.427
Ni 2.369 2.237 2.464
Ni 3.530 0.746 5.705
Ni 4.147 0.746 3.187
Ni 4.447 2.237 1.088
Ni 5.302 2.237 4.864
Ni 6.496 0.746 1.617
Ni 7.351 0.746 5.394
Ni 7.651 2.237 3.295
Ni 8.268 2.237 0.776
Ni 9.429 0.746 4.017
Ni 10.046 0.746 0.054
Ni 10.346 2.237 2.153
Ni 11.200 2.237 4.858
B 0.300 0.746 6.067
B 0.469 2.237 3.097
B 2.863 0.746 1.189
B 3.035 2.237 4.429
B 5.430 0.746 6.337
B 5.599 2.237 2.826
B 6.199 0.746 3.655
B 6.368 2.237 0.144
B 8.762 0.746 2.052
B 8.934 2.237 5.293
B 11.328 0.746 3.385
B 11.498 2.237 0.414
```



DFT (meta-GGA SCAN) results for a PBEsol-optimized structure of CaSi2Os.

Summary:
For the formation energy (no corrections), the calculation gives -0.478 eV per atom.

```
12
Lattice="4.056 0.000 0.000 -2.028 3.513 0.000 0.000 0.000 15.181" Properties=species:S:1:pos:R:3 pbc="T T T"
Ca 0.000 0.000 0.000
Ca 0.000 2.342 10.121
Ca 2.028 1.171 5.060
Si 0.000 0.000 3.171
Si 0.000 0.000 12.010
Si 0.000 2.342 6.950
Si 0.000 2.342 13.291
Si 2.028 1.171 1.890
Si 2.028 1.171 8.231
Os 0.000 0.000 7.590
Os 0.000 2.342 2.530
Os 2.028 1.171 12.651
```



DFT (meta-GGA SCAN) results for a PBEsol-optimized structure of LiScGe.

Summary:
The value obtained for the formation energy is -706 meV/atom.

```
12
Lattice="6.553 0.000 0.000 0.000 4.139 0.000 0.000 0.000 7.428" Properties=species:S:1:pos:R:3 pbc="T T T"
Li 1.111 1.035 0.542
Li 2.165 3.104 4.256
Li 4.388 1.035 3.172
Li 5.442 3.104 6.886
Sc 0.067 1.035 5.275
Sc 3.210 3.104 1.561
Sc 3.344 1.035 5.867
Sc 6.486 3.104 2.153
Ge 1.583 3.104 6.703
Ge 1.693 1.035 2.989
Ge 4.860 3.104 4.439
Ge 4.970 1.035 0.725
```



DFT (meta-GGA SCAN) results for a PBEsol-optimized structure of HgWSe2.

Summary:
For the formation energy (no corrections), the calculation gives -0.162 eV per atom.

```
8
Lattice="5.591 0.000 0.000 0.000 3.228 0.000 -1.921 0.000 9.424" Properties=species:S:1:pos:R:3 pbc="T T T"
Hg 0.000 0.000 0.000
Hg 2.796 1.614 0.000
W -0.960 1.614 4.712
W 1.835 0.000 4.712
Se -0.029 0.000 6.442
Se 0.903 1.614 2.981
Se 2.767 1.614 6.442
Se 3.699 0.000 2.981
```



DFT (meta-GGA SCAN) results for a PBEsol-optimized structure of TaSn3W.

Summary:
The value obtained for the formation energy is 1504 meV/atom.

```
5
Lattice="5.137 0.000 0.000 0.000 5.137 0.000 0.000 0.000 5.137" Properties=species:S:1:pos:R:3 pbc="T T T"
Ta 0.000 0.000 0.000
Sn 0.000 2.569 2.569
Sn 2.569 0.000 2.569
Sn 2.569 2.569 0.000
W 2.569 2.569 2.569
```



DFT (meta-GGA SCAN) results for a PBEsol-optimized structure of Mn2Ir.

Summary:
The value obtained for the formation energy is -73 meV/atom.

```
3
Lattice="3.941 0.000 0.000 -1.971 3.413 0.000 0.000 0.000 2.596" Properties=species:S:1:pos:R:3 pbc="T T T"
Mn 0.000 2.276 0.000
Mn 1.971 1.138 0.000
Ir 0.000 0.000 1.298
```



DFT (meta-GGA SCAN) results for a PBEsol-optimized structure of Ti3RhO.

Summary:
For the formation energy (no corrections), the calculation gives -1.502 eV per atom.

```
5
Lattice="4.036 0.000 0.000 0.000 4.036 0.000 0.000 0.000 4.036" Properties=species:S:1:pos:R:3 pbc="T T T"
Ti 0.000 0.000 2.018
Ti 0.000 2.018 0.000
Ti 2.018 0.000 0.000
Rh 2.018 2.018 2.018
O 0.000 0.000 0.000
```



DFT (meta-GGA SCAN) results for a PBEsol-optimized structure of NaMg2H3S2O8.

Summary:
Its final energy is -246.90 eV for the cell shown.

```
32
Lattice="6.315 0.000 0.000 -2.950 7.094 0.000 -0.381 -4.163 7.819" Properties=species:S:1:pos:R:3 pbc="T T T"
Na 0.170 1.486 0.664
Na 2.814 1.444 7.155
Mg -1.666 1.465 3.909
Mg -0.100 3.624 6.312
Mg 1.492 1.465 3.909
Mg 3.083 -0.694 1.507
H -0.847 3.862 2.080
H -0.079 3.504 3.856
H 0.776 3.870 2.094
H 2.208 -0.940 5.725
H 3.063 -0.574 3.963
H 3.831 -0.931 5.739
S 0.017 -0.969 2.357
S -0.143 0.329 6.627
S 3.126 2.602 1.192
S 2.967 3.900 5.462
O -1.360 0.322 5.684
O -0.101 0.483 2.937
O -1.893 6.328 1.236
O 0.871 -3.018 6.279
O -0.070 2.721 4.459
O -0.040 4.442 2.226
O -0.165 1.735 7.258
O 1.114 0.352 5.723
O 1.870 2.579 2.096
O 3.148 1.195 0.561
O 3.024 -1.512 5.593
O 3.054 0.210 3.360
O 2.112 5.948 1.540
O 4.876 -3.398 6.583
O 3.084 2.448 4.882
O 4.344 2.609 2.135
```



DFT (meta-GGA SCAN) results for a PBEsol-optimized structure of FeReBr2.

Summary:
Its energy above the most stable polymorph in this dataset is 0.548 eV per atom. For the formation energy (no corrections), the calculation gives 1.133 eV per atom.

```
8
Lattice="8.194 0.000 0.000 0.000 3.033 0.000 -1.163 0.000 5.149" Properties=species:S:1:pos:R:3 pbc="T T T"
Fe 0.000 0.000 0.000
Fe 4.097 1.516 0.000
Re -0.581 1.516 2.575
Re 3.516 0.000 2.575
Br 1.675 1.516 1.279
Br 1.259 0.000 3.870
Br 5.772 0.000 1.279
Br 5.356 1.516 3.870
```



DFT (meta-GGA SCAN) results for a PBEsol-optimized structure of Mg3TcP.

Summary:
The value obtained for the formation energy is 557 meV/atom.

```
5
Lattice="4.760 0.000 0.000 0.000 4.760 0.000 0.000 0.000 4.760" Properties=species:S:1:pos:R:3 pbc="T T T"
Mg 0.000 0.000 2.380
Mg 0.000 2.380 0.000
Mg 2.380 0.000 0.000
Tc 2.380 2.380 2.380
P 0.000 0.000 0.000
```



DFT (meta-GGA SCAN) results for a PBEsol-optimized structure of AlIrOs.

Summary:
The value obtained for the formation energy is -58 meV/atom.

```
12
Lattice="2.793 0.000 0.000 0.000 4.685 0.000 0.000 0.000 12.975" Properties=species:S:1:pos:R:3 pbc="T T T"
Al 0.000 0.000 0.000
Al 0.000 2.343 6.487
Al 1.397 0.000 6.487
Al 1.397 2.343 0.000
Ir 0.000 0.000 8.544
Ir 0.000 2.343 2.057
Ir 1.397 0.000 2.057
Ir 1.397 2.343 8.544
Os 0.000 0.000 4.389
Os 0.000 2.343 10.877
Os 1.397 0.000 10.877
Os 1.397 2.343 4.389
```



DFT (meta-GGA SCAN) results for a PBEsol-optimized structure of ErAlAg2.

Summary:
The value obtained for the formation energy is -406 meV/atom.

```
16
Lattice="6.680 0.000 0.000 0.000 6.680 0.000 0.000 0.000 6.680" Properties=species:S:1:pos:R:3 pbc="T T T"
Er 0.000 0.000 0.000
Er 0.000 3.340 3.340
Er 3.340 0.000 3.340
Er 3.340 3.340 0.000
Al 0.000 0.000 3.340
Al 0.000 3.340 0.000
Al 3.340 0.000 0.000
Al 3.340 3.340 3.340
Ag 1.670 1.670 1.670
Ag 1.670 1.670 5.010
Ag 1.670 5.010 1.670
Ag 1.670 5.010 5.010
Ag 5.010 1.670 1.670
Ag 5.010 1.670 5.010
Ag 5.010 5.010 1.670
Ag 5.010 5.010 5.010
```



DFT (meta-GGA SCAN) results for a PBEsol-optimized structure of LaTaAl.

Summary:
The value obtained for the formation energy is 751 meV/atom. Its energy above the most stable polymorph in this dataset is 0.630 eV per atom.

```
12
Lattice="6.576 0.000 0.000 0.000 6.576 0.000 0.000 0.000 6.576" Properties=species:S:1:pos:R:3 pbc="T T T"
La 0.000 0.000 0.000
La 0.000 3.288 3.288
La 3.288 0.000 3.288
La 3.288 3.288 0.000
Ta 1.644 1.644 1.644
Ta 1.644 4.932 4.932
Ta 4.932 1.644 4.932
Ta 4.932 4.932 1.644
Al 0.000 0.000 3.288
Al 0.000 3.288 0.000
Al 3.288 0.000 0.000
Al 3.288 3.288 3.288
```



DFT (meta-GGA SCAN) results for a PBEsol-optimized structure of OsCl.

Summary:
Its energy above the most stable polymorph in this dataset is 0.000 eV per atom. For the formation energy (no corrections), the calculation gives 0.999 eV per atom.

```
4
Lattice="2.787 0.000 0.000 -1.394 2.414 0.000 0.000 0.000 9.254" Properties=species:S:1:pos:R:3 pbc="T T T"
Os 0.000 1.609 0.000
Os 1.394 0.805 4.627
Cl 0.000 1.609 2.175
Cl 1.394 0.805 6.802
```



DFT (meta-GGA SCAN) results for a PBEsol-optimized structure of Sb2AsPbI.

Summary:
For the formation energy (no corrections), the calculation gives 1.041 eV per atom.

```
5
Lattice="5.776 0.000 0.000 0.000 5.776 0.000 0.000 0.000 5.791" Properties=species:S:1:pos:R:3 pbc="T T T"
Sb 0.000 2.888 0.000
Sb 2.888 0.000 0.000
As 0.000 0.000 2.895
Pb 2.888 2.888 0.000
I 2.888 2.888 2.895
```



Number 1: volume 79.6 Å³/f.u.. Number 2: volume 100.5 Å³/f.u.. Number 3: volume 56.5 Å³/f.u.. Number 4: volume 87.6 Å³/f.u.. Number 5: volume 50.7 Å³/f.u.. Number 6: volume 57.0 Å³/f.u.. Number 7: volume 72.1 Å³/f.u.. Number 8: volume 50.4 Å³/f.u.. Number 9: volume 85.0 Å³/f.u.. Number 10: volume 135.6 Å³/f.u.. Number 11: volume 34.9 Å³/f.u.. Number 12: volume 65.7 Å³/f.u.. Number 13: volume 175.1 Å³/f.u.. Number 14: volume 64.0 Å³/f.u.. Number 15: volume 107.9 Å³/f.u.. Number 16: volume 42.4 Å³/f.u.. Number 17: volume 74.5 Å³/f.u.. Number 18: volume 71.1 Å³/f.u.. Number 19: volume 31.1 Å³/f.u.. Number 20: volume 193.2 Å³/f.u..